LiPuFe2O6 after structural relaxation, computed with GGA+U.

Computed properties:
M_tot = 0.500 μB per atom
calculated total energy = -7.489 eV per atom

Lattice parameters (Å, degrees): 5.2110 5.2307 5.7448 61.97 61.54 60.35
With the nearest neighbours (Å) after each atom.
Fractional coordinates of all 10 atoms:
O1 0.2170 0.9185 0.2340  2 Fe 1.98-2.05, 1 Pu 2.10
O2 0.9162 0.6183 0.2334  2 Fe 2.00-2.02, 1 Pu 2.09
O3 0.7416 0.1083 0.7698  1 Fe 1.98, 1 Pu 2.06, 1 Li 2.08
O4 0.1202 0.3868 0.7600  2 Fe 2.00-2.21, 1 Pu 2.09, 1 Li 2.09
O5 0.6207 0.2249 0.2288  2 Fe 1.99-2.07, 1 Pu 2.08
O6 0.3869 0.7433 0.7657  1 Fe 1.97, 1 Li 2.05, 1 Pu 2.07
Fe1 0.5177 0.5258 0.4251  4 O 2.02-2.21
Fe2 0.0090 0.0054 0.9798  6 O 1.97-2.00
Li1 0.8063 0.8058 0.5922  4 O 2.05-2.25
Pu1 0.3259 0.3244 0.0264  6 O 2.06-2.10